Entry 1:
Entry from the Alexandria database: a relaxed structure of NbAsIr (PBE).

For the raw total energy, the calculation gives -8.0314 eV/atom.

Cell lengths 12.254, 2.906, 6.707 Å; angles 90.00, 118.47, 90.00 degrees
Space group C2/m (No. 12)
Unique sites:
Nb  0.152  0.000  0.241 (multiplicity 4)
As  0.061  0.500  0.837 (multiplicity 4)
Ir  0.139  0.000  0.617 (multiplicity 4)


Entry 2:
Entry from the Alexandria database: a relaxed structure of CaBPdPt2 (PBE).

For the raw total energy, the calculation gives -5.8329 eV/atom.

Cell lengths 4.246, 4.246, 4.453 Å; angles 90.00, 90.00, 90.00 degrees
Space group P4/mmm (No. 123)
Unique sites:
Ca  0.000  0.000  0.000 (multiplicity 1)
B  0.500  0.500  0.500 (multiplicity 1)
Pd  0.500  0.500  0.000 (multiplicity 1)
Pt  0.000  0.500  0.500 (multiplicity 2)


Entry 3:
Entry from the Alexandria database: a relaxed structure of Cs2LiGa2I6 (PBE).

For the raw total energy, the calculation gives -2.6614 eV/atom. As for the energy relative to the elements, uncorrected: -936 meV/atom.

Cell lengths 14.737, 8.538, 9.514 Å; angles 90.00, 122.26, 90.00 degrees
Space group C2/m (No. 12)
Unique sites:
Cs  0.221  0.000  0.215 (multiplicity 4)
Li  0.000  0.000  0.500 (multiplicity 2)
Ga  0.026  0.500  0.154 (multiplicity 4)
I  0.046  0.228  0.771 (multiplicity 8)
I  0.248  0.500  0.355 (multiplicity 4)


Entry 4:
Entry from the Alexandria database: a relaxed structure of LiSmHfS4 (PBE).

For the raw total energy, the calculation gives -6.4378 eV/atom. As for the energy relative to the elements, uncorrected: -1710 meV/atom.

Cell lengths 7.522, 8.045, 11.112 Å; angles 90.00, 90.00, 90.00 degrees
Space group Imma (No. 74)
Unique sites:
Li  0.000  0.250  0.121 (multiplicity 4)
Sm  0.000  0.000  0.500 (multiplicity 4)
Hf  0.250  0.250  0.750 (multiplicity 4)
S  0.000  0.029  0.752 (multiplicity 8)
S  0.248  0.250  0.979 (multiplicity 8)


Entry 5:
Entry from the Alexandria database: a relaxed structure of Be2NiCl (PBE).

For the raw total energy, the calculation gives -3.3199 eV/atom. As for the energy relative to the elements, uncorrected: 450 meV/atom. The calculation puts the energy above the most stable polymorph in this dataset at 583 meV per atom.

Cell lengths 2.727, 4.881, 7.494 Å; angles 90.00, 90.00, 90.00 degrees
Space group Imm2 (No. 44)
Unique sites:
Be  0.000  0.000  0.000 (multiplicity 2)
Be  0.000  0.500  0.240 (multiplicity 2)
Ni  0.000  0.000  0.499 (multiplicity 2)
Cl  0.000  0.500  0.729 (multiplicity 2)


Entry 6:
Entry from the Alexandria database: a relaxed structure of Na2InSeI (PBE).

For the raw total energy, the calculation gives -2.8179 eV/atom. As for the energy relative to the elements, uncorrected: -736 meV/atom.

Cell lengths 5.480, 5.480, 6.165 Å; angles 90.00, 90.00, 90.00 degrees
Space group P4/mmm (No. 123)
Unique sites:
Na  0.000  0.500  0.000 (multiplicity 2)
In  0.000  0.000  0.500 (multiplicity 1)
Se  0.000  0.000  0.000 (multiplicity 1)
I  0.500  0.500  0.500 (multiplicity 1)